1.
Crystalline MgZnSnPb2 at its relaxed geometry, computed with PBE.

Results
The space-group type is P4/mmm (123). As for the total magnetization: 0.00 μB/cell. The formation energy from the elements comes out at 0.378 eV/atom. The density of states at the Fermi level comes out at 4.170 states/eV/cell. The total energy is -2.48 eV per atom. As for the crystal system: tetragonal.

a b c (Å): 5.752 5.381 5.752
angles (deg): 90.00 90.00 90.00
Sites, in units of the cell vectors:
Sn  0.500  0.500  0.500
Mg  0.000  0.500  0.000
Zn  0.000  0.000  0.000
Pb  0.000  0.000  0.500
Pb  0.500  0.000  0.000

2.
Crystalline MgZnSnPb at its relaxed geometry, computed with PBE.

Results
The space-group type is F-43m (216). As for the total magnetization: 0.00 μB/cell. The formation energy from the elements comes out at 0.072 eV/atom. The density of states at the Fermi level comes out at 2.964 states/eV/cell. The total energy is -2.57 eV per atom. As for the crystal system: cubic.

a b c (Å): 5.165 5.165 5.165
angles (deg): 60.00 60.00 60.00
Sites, in units of the cell vectors:
Zn  0.500  0.500  0.500
Mg  0.000  0.000  0.000
Sn  0.250  0.250  0.250
Pb  0.750  0.750  0.750

3.
Crystalline SrMg6Pb6 at its relaxed geometry, computed with PBE.

Results
The space-group type is Immm (71). As for the total magnetization: 0.00 μB/cell. The formation energy from the elements comes out at -0.135 eV/atom. The density of states at the Fermi level comes out at 5.038 states/eV/cell. The total energy is -2.71 eV per atom. As for the crystal system: orthorhombic.

a b c (Å): 6.266 8.184 8.184
angles (deg): 79.39 67.49 67.49
Sites, in units of the cell vectors:
Mg  0.500  0.500  0.000
Mg  0.500  0.242  0.758
Mg  0.000  0.000  0.500
Mg  0.500  0.758  0.242
Mg  0.500  0.000  0.500
Mg  0.000  0.500  0.000
Pb  0.000  0.341  0.659
Pb  0.000  0.659  0.341
Pb  0.327  0.173  0.173
Pb  0.659  0.341  0.341
Pb  0.673  0.827  0.827
Pb  0.341  0.659  0.659
Sr  0.000  0.000  0.000

4.
Crystalline SrMg3Pb3 at its relaxed geometry, computed with PBE.

Results
The space-group type is Pm-3n (223). As for the total magnetization: 0.00 μB/cell. As for the distance to the lowest polymorph of the same formula: 218 meV/atom. The formation energy from the elements comes out at 0.169 eV/atom. The density of states at the Fermi level comes out at 10.814 states/eV/cell. The total energy is -2.34 eV per atom. As for the crystal system: cubic.

a b c (Å): 8.006 8.006 8.006
angles (deg): 90.00 90.00 90.00
Sites, in units of the cell vectors:
Pb  0.500  0.250  0.000
Pb  0.000  0.500  0.250
Pb  0.750  0.000  0.500
Pb  0.250  0.000  0.500
Pb  0.500  0.750  0.000
Pb  0.000  0.500  0.750
Mg  0.250  0.500  0.000
Mg  0.500  0.000  0.250
Mg  0.000  0.750  0.500
Mg  0.500  0.000  0.750
Mg  0.000  0.250  0.500
Mg  0.750  0.500  0.000
Sr  0.000  0.000  0.000
Sr  0.500  0.500  0.500

5.
Crystalline Sr3MgPb at its relaxed geometry, computed with PBE.

Results
The space-group type is Pm-3m (221). As for the total magnetization: 0.00 μB/cell. As for the distance to the lowest polymorph of the same formula: 0 meV/atom. The formation energy from the elements comes out at -0.007 eV/atom. The density of states at the Fermi level comes out at 4.332 states/eV/cell. The total energy is -2.08 eV per atom. As for the crystal system: cubic.

a b c (Å): 6.409 6.409 6.409
angles (deg): 90.00 90.00 90.00
Sites, in units of the cell vectors:
Sr  0.000  0.000  0.500
Sr  0.500  0.000  0.000
Sr  0.000  0.500  0.000
Pb  0.000  0.000  0.000
Mg  0.500  0.500  0.500

6.
Crystalline Sr2MgPb4 at its relaxed geometry, computed with PBE.

Results
The space-group type is I4/mmm (139). As for the total magnetization: 0.00 μB/cell. The formation energy from the elements comes out at -0.086 eV/atom. The density of states at the Fermi level comes out at 5.423 states/eV/cell. The total energy is -2.91 eV per atom. As for the crystal system: tetragonal.

a b c (Å): 5.499 5.499 9.386
angles (deg): 72.96 72.96 90.00
Sites, in units of the cell vectors:
Sr  0.362  0.362  0.277
Sr  0.638  0.638  0.723
Pb  0.000  0.500  0.000
Pb  0.834  0.834  0.332
Pb  0.500  0.000  0.000
Pb  0.166  0.166  0.668
Mg  0.000  0.000  0.000

7.
Crystalline SrMgPb2 at its relaxed geometry, computed with PBE.

Results
The space-group type is Pmm2 (25). As for the total magnetization: 0.00 μB/cell. The formation energy from the elements comes out at -0.172 eV/atom. The density of states at the Fermi level comes out at 2.440 states/eV/cell. The total energy is -2.84 eV per atom. As for the crystal system: orthorhombic.

a b c (Å): 4.003 4.380 7.286
angles (deg): 90.00 90.00 90.00
Sites, in units of the cell vectors:
Pb  0.000  0.000  0.986
Pb  0.500  0.500  0.223
Sr  0.000  0.000  0.494
Mg  0.500  0.500  0.797

8.
Crystalline Sr2Mg3Pb4 at its relaxed geometry, computed with PBE.

Results
The space-group type is Cmce (64). As for the total magnetization: 0.00 μB/cell. The formation energy from the elements comes out at -0.295 eV/atom. The density of states at the Fermi level comes out at 11.888 states/eV/cell. The total energy is -2.85 eV per atom. As for the crystal system: orthorhombic.

a b c (Å): 6.792 8.960 9.514
angles (deg): 90.00 110.91 90.00
Sites, in units of the cell vectors:
Mg  0.029  0.750  0.559
Mg  0.500  0.500  0.000
Mg  0.971  0.250  0.441
Mg  0.000  0.000  0.000
Mg  0.471  0.250  0.441
Mg  0.529  0.750  0.559
Pb  0.817  0.031  0.634
Pb  0.683  0.531  0.366
Pb  0.317  0.469  0.634
Pb  0.697  0.750  0.894
Pb  0.197  0.750  0.894
Pb  0.183  0.969  0.366
Pb  0.303  0.250  0.106
Pb  0.803  0.250  0.106
Sr  0.390  0.091  0.779
Sr  0.610  0.909  0.221
Sr  0.890  0.409  0.779
Sr  0.110  0.591  0.221

9.
Crystalline SrMg4Pb2 at its relaxed geometry, computed with PBE.

Results
The space-group type is P4_2/mnm (136). As for the total magnetization: 0.00 μB/cell. The formation energy from the elements comes out at -0.230 eV/atom. The density of states at the Fermi level comes out at 6.465 states/eV/cell. The total energy is -2.44 eV per atom. As for the crystal system: tetragonal.

a b c (Å): 4.716 9.077 9.077
angles (deg): 90.00 90.00 90.00
Sites, in units of the cell vectors:
Pb  0.500  0.288  0.288
Pb  0.000  0.788  0.212
Pb  0.500  0.712  0.712
Pb  0.000  0.212  0.788
Mg  0.500  0.589  0.152
Mg  0.000  0.348  0.089
Mg  0.000  0.911  0.652
Mg  0.000  0.652  0.911
Mg  0.500  0.411  0.848
Mg  0.000  0.089  0.348
Mg  0.500  0.152  0.589
Mg  0.500  0.848  0.411
Sr  0.000  0.500  0.500
Sr  0.500  0.000  0.000

10.
Crystalline Sr2MgPb9 at its relaxed geometry, computed with PBE.

Results
The space-group type is P4/mmm (123). As for the total magnetization: 0.00 μB/cell. The formation energy from the elements comes out at -0.223 eV/atom. The density of states at the Fermi level comes out at 5.775 states/eV/cell. The total energy is -3.42 eV per atom. As for the crystal system: tetragonal.

a b c (Å): 5.025 5.025 14.706
angles (deg): 90.00 90.00 90.00
Sites, in units of the cell vectors:
Pb  0.500  0.500  0.000
Pb  0.500  0.500  0.673
Pb  0.500  0.500  0.327
Pb  0.500  0.000  0.846
Pb  0.000  0.500  0.154
Pb  0.500  0.000  0.500
Pb  0.500  0.000  0.154
Pb  0.000  0.500  0.500
Pb  0.000  0.500  0.846
Sr  0.000  0.000  0.330
Sr  0.000  0.000  0.670
Mg  0.000  0.000  0.000

11.
Crystalline SrMgPb2 at its relaxed geometry, computed with PBE.

Results
The space-group type is P4/mmm (123). As for the total magnetization: 0.00 μB/cell. The formation energy from the elements comes out at -0.278 eV/atom. The density of states at the Fermi level comes out at 1.924 states/eV/cell. The total energy is -2.95 eV per atom. As for the crystal system: tetragonal.

a b c (Å): 4.010 4.010 7.558
angles (deg): 90.00 90.00 90.01
Sites, in units of the cell vectors:
Sr  0.500  0.500  0.250
Pb  0.000  0.000  0.537
Pb  0.000  0.000  0.963
Mg  0.500  0.500  0.750